No. 1
VASP calculation (PBE) on YPtCl2 after structural relaxation.

The structure belongs to space group P4mm (No. 99); the cell edges are 3.676, 3.676 and 7.465 Å and the angles 90.00°, 90.00° and 90.00°. Symmetry generates all atoms from Y at (0.000, 0.000, 0.000), Pt at (0.500, 0.500, 0.834), Cl at (0.000, 0.000, 0.649) and Cl at (0.500, 0.500, 0.225).

The uncorrected formation energy comes out at -1.04 eV/atom. The value obtained for the density of states at the Fermi level is 2.225 states/eV per cell. For the energy above the most stable polymorph in this dataset, the calculation gives 0.115 eV per atom. The value obtained for the total magnetic moment is 0.000 μB per atom.


No. 2
VASP calculation (PBE) on YPtCl2 after structural relaxation.

The structure belongs to space group I-42d (No. 122); the cell edges are 4.436, 4.436 and 17.859 Å and the angles 90.00°, 90.00° and 90.00°. Symmetry generates all atoms from Y at (0.000, 0.000, 0.000), Pt at (0.000, 0.000, 0.500) and Cl at (0.244, 0.250, 0.625).

The uncorrected formation energy comes out at -0.89 eV/atom. The value obtained for the density of states at the Fermi level is 2.487 states/eV per cell. For the energy above the most stable polymorph in this dataset, the calculation gives 0.271 eV per atom. The value obtained for the total magnetic moment is 0.000 μB per atom.


No. 3
VASP calculation (PBE) on Y2PtCl after structural relaxation.

The structure belongs to space group I-42d (No. 122); the cell edges are 6.184, 6.184 and 13.174 Å and the angles 90.00°, 90.00° and 90.00°. Symmetry generates all atoms from Y at (0.238, 0.250, 0.125), Pt at (0.000, 0.000, 0.000) and Cl at (0.000, 0.000, 0.500).

The uncorrected formation energy comes out at -0.91 eV/atom. The value obtained for the density of states at the Fermi level is 13.255 states/eV per cell. For the energy above the most stable polymorph in this dataset, the calculation gives 0.432 eV per atom. The value obtained for the total magnetic moment is 0.000 μB per atom.


No. 4
VASP calculation (PBE) on YPtCl2 after structural relaxation.

The structure belongs to space group R-3m (No. 166, hexagonal axes); the cell edges are 3.4411, 3.4411 and 25.3888 Å and the angles 90.00°, 90.00° and 120.00°. Symmetry generates all atoms from Y at (0.0000, 0.0000, 0.0000), Pt at (0.0000, 0.0000, 0.5000) and Cl at (0.0000, 0.0000, 0.4076).

The uncorrected formation energy comes out at -0.76 eV/atom. The value obtained for the density of states at the Fermi level is 7.021 states/eV per cell. For the energy above the most stable polymorph in this dataset, the calculation gives 0.403 eV per atom. The value obtained for the total magnetic moment is 0.000 μB per atom.


No. 5
VASP calculation (PBE) on YPtCl2 after structural relaxation.

The structure belongs to space group I4/mmm (No. 139); the cell edges are 4.436, 4.436 and 8.229 Å and the angles 90.00°, 90.00° and 90.00°. Symmetry generates all atoms from Y at (0.000, 0.000, 0.000), Pt at (0.000, 0.000, 0.500) and Cl at (0.000, 0.500, 0.250).

The uncorrected formation energy comes out at -0.78 eV/atom. The value obtained for the density of states at the Fermi level is 4.107 states/eV per cell. For the energy above the most stable polymorph in this dataset, the calculation gives 0.375 eV per atom. The value obtained for the total magnetic moment is 0.118 μB per atom.


No. 6
VASP calculation (PBE) on YPtCl2 after structural relaxation.

The structure belongs to space group Immm (No. 71); the cell edges are 3.556, 4.712 and 13.942 Å and the angles 90.00°, 90.00° and 90.00°. Symmetry generates all atoms from Y at (0.000, 0.000, 0.000), Pt at (0.000, 0.000, 0.500) and Cl at (0.000, 0.500, 0.356).

The uncorrected formation energy comes out at -1.08 eV/atom. The value obtained for the density of states at the Fermi level is 2.517 states/eV per cell. For the energy above the most stable polymorph in this dataset, the calculation gives 0.075 eV per atom. The value obtained for the total magnetic moment is 0.000 μB per atom.


No. 7
VASP calculation (PBE) on YPt2Cl after structural relaxation.

The structure belongs to space group Fm-3m (No. 225); the cell edges are 6.820, 6.820 and 6.820 Å and the angles 90.00°, 90.00° and 90.00°. Symmetry generates all atoms from Y at (0.000, 0.000, 0.000), Pt at (0.250, 0.250, 0.250) and Cl at (0.000, 0.000, 0.500).

The uncorrected formation energy comes out at -0.30 eV/atom. The value obtained for the density of states at the Fermi level is 7.322 states/eV per cell. For the energy above the most stable polymorph in this dataset, the calculation gives 0.665 eV per atom. The value obtained for the total magnetic moment is 0.000 μB per atom.


No. 8
VASP calculation (PBE) on Y2PtCl after structural relaxation.

The structure belongs to space group Cmmm (No. 65); the cell edges are 7.121, 7.463 and 3.313 Å and the angles 90.00°, 90.00° and 90.00°. Symmetry generates all atoms from Y at (0.250, 0.250, 0.000), Pt at (0.000, 0.000, 0.500) and Cl at (0.000, 0.500, 0.500).

The uncorrected formation energy comes out at -1.02 eV/atom. The value obtained for the density of states at the Fermi level is 5.970 states/eV per cell. For the energy above the most stable polymorph in this dataset, the calculation gives 0.324 eV per atom. The value obtained for the total magnetic moment is 0.000 μB per atom.


Q: Which formula does entry 3 have?
A: Y2PtCl